1.
This record from the Alexandria database describes a geometry-optimized HfAuIN2 structure. The functional is GGA-PBE.

```
HfAuIN2
1.0
4.2018 0.0000 0.0000
0.0000 4.2018 0.0000
0.0000 0.0000 5.2787
Hf Au I N
1 1 1 2
Direct
0.0000 0.0000 0.0000 Hf
0.5000 0.5000 0.5000 Au
0.5000 0.5000 0.0000 I
0.0000 0.5000 0.5000 N
0.5000 0.0000 0.5000 N
```

Values from the calculation:
uncorrected formation energy = 1857 meV per atom
space-group type = P4/mmm



2.
This record from the Alexandria database describes a geometry-optimized Sr2MnCd structure. The functional is GGA-PBE.

```
Sr2MnCd
1.0
-2.4457 2.4457 5.3934
2.4457 -2.4457 5.3934
2.4457 2.4457 -5.3934
Sr Mn Cd
2 1 1
Direct
0.0000 0.0000 0.0000 Sr
0.7500 0.2500 0.5000 Sr
0.5000 0.5000 0.0000 Mn
0.2500 0.7500 0.5000 Cd
```

Values from the calculation:
space-group type = I-4m2
E_form = 0.30 eV/atom